Entry 1:
{
  "formula": "Cr2InGe2",
  "functional": "PBE-GGA",
  "state": "optimized geometry",
  "ef_kj_per_mol_atoms": 29,
  "crystal_system": "tetragonal",
  "energy_ev_per_cell": -59.5,
  "cell": [[3.688, 0.000, 0.000], [0.000, 3.688, 0.000], [0.000, 0.000, 12.341]],
  "species": ["Cr", "Cr", "Cr", "Cr", "In", "In", "Ge", "Ge", "Ge", "Ge"],
  "fractional_positions": [[0.000, 0.000, 0.106], [0.000, 0.000, 0.894], [0.500, 0.500, 0.394], [0.500, 0.500, 0.606], [0.000, 0.000, 0.500], [0.500, 0.500, 0.000], [0.000, 0.500, 0.250], [0.000, 0.500, 0.750], [0.500, 0.000, 0.250], [0.500, 0.000, 0.750]]
}

***

Entry 2:
{
  "formula": "Cr2InGe2",
  "functional": "PBE-GGA",
  "state": "optimized geometry",
  "ef_kj_per_mol_atoms": 26,
  "crystal_system": "tetragonal",
  "energy_ev_per_cell": -59.8,
  "cell": [[4.322, 0.000, 0.000], [0.000, 4.322, 0.000], [0.000, 0.000, 9.746]],
  "species": ["Cr", "Cr", "Cr", "Cr", "In", "In", "Ge", "Ge", "Ge", "Ge"],
  "fractional_positions": [[0.000, 0.500, 0.250], [0.000, 0.500, 0.750], [0.500, 0.000, 0.250], [0.500, 0.000, 0.750], [0.000, 0.000, 0.000], [0.500, 0.500, 0.500], [0.000, 0.000, 0.373], [0.000, 0.000, 0.627], [0.500, 0.500, 0.127], [0.500, 0.500, 0.873]]
}